(1)
Ce5SnOs2 after structural relaxation, computed with PBE.

As for the density of states at the Fermi level: 86.06 states/eV per cell. The spin magnetization comes out at 10.1 μB per cell. The calculation puts the total energy at -235.470 eV per cell. The value obtained for the formation energy is -0.34 eV per atom.

The structure belongs to space group I4/mcm (No. 140); the cell edges are 7.856, 7.856 and 13.393 Å and the angles 90.00°, 90.00° and 90.00°. The asymmetric unit holds Ce at (0.000, 0.000, 0.000), Ce at (0.160, 0.340, 0.135), Sn at (0.000, 0.000, 0.250) and Os at (0.140, 0.360, 0.500).


(2)
Dy4Y after structural relaxation, computed with PBE.

As for the density of states at the Fermi level: 14.28 states/eV per cell. For the energy above the most stable polymorph in this dataset, the calculation gives 0.0 meV/atom. The spin magnetization comes out at 0.0 μB per cell. The calculation puts the total energy at -49.551 eV per cell. The value obtained for the formation energy is 0.02 eV per atom.

The structure belongs to space group C2/m (No. 12); the cell edges are 6.146, 3.551 and 14.589 Å and the angles 90.00°, 97.96° and 90.00°. The asymmetric unit holds Dy at (0.100, 0.000, 0.299), Dy at (0.200, 0.500, 0.100) and Y at (0.000, 0.500, 0.500).


(3)
Ba2RuSBr after structural relaxation, computed with PBE.

As for the density of states at the Fermi level: 4.08 states/eV per cell. The formation energy from raw total energies comes out at -0.36 eV/atom. The spin magnetization comes out at 0.4 μB per cell. The calculation puts the total energy at -20.707 eV per cell.

The structure belongs to space group P4/mmm (No. 123); the cell edges are 6.188, 6.188 and 4.521 Å and the angles 90.00°, 90.00° and 90.00°. The asymmetric unit holds Ba at (0.000, 0.500, 0.000), Ru at (0.000, 0.000, 0.500), S at (0.500, 0.500, 0.500) and Br at (0.000, 0.000, 0.000).


(4)
TbPm3Sm5 after structural relaxation, computed with PBE.

As for the density of states at the Fermi level: 54.21 states/eV per cell. The spin magnetization comes out at 0.0 μB per cell. The calculation puts the total energy at -152.371 eV per cell. The value obtained for the formation energy is 0.49 eV per atom.

The structure belongs to space group C2/m (No. 12); the cell edges are 15.390, 11.650 and 9.914 Å and the angles 90.00°, 129.78° and 90.00°. The asymmetric unit holds Tb at (0.248, 0.000, 0.407), Pm at (0.000, 0.000, 0.000), Pm at (0.000, 0.500, 0.500), Pm at (0.006, 0.500, 0.817), Pm at (0.016, 0.000, 0.353), Sm at (0.000, 0.254, 0.000), Sm at (0.150, 0.252, 0.741), Sm at (0.225, 0.000, 0.048) and Sm at (0.225, 0.500, 0.228).


(5)
BaCuAs after structural relaxation, computed with PBE.

As for the density of states at the Fermi level: 11.20 states/eV per cell. The spin magnetization comes out at 0.0 μB per cell. The calculation puts the total energy at -44.705 eV per cell. The value obtained for the formation energy is -0.17 eV per atom.

The structure belongs to space group Fmm2 (No. 42); the cell edges are 5.156, 5.207 and 11.206 Å and the angles 90.00°, 90.00° and 90.00°. The asymmetric unit holds Ba at (0.000, 0.000, 0.000), Cu at (0.000, 0.000, 0.278) and As at (0.000, 0.000, 0.716).


(6)
KTl8Sb2 after structural relaxation, computed with PBE.

As for the density of states at the Fermi level: 9.44 states/eV per cell. The formation energy from raw total energies comes out at -0.02 eV/atom. The spin magnetization comes out at 0.0 μB per cell. The calculation puts the total energy at -56.932 eV per cell.

The structure belongs to space group C2/m (No. 12); the cell edges are 17.864, 6.409 and 6.557 Å and the angles 90.00°, 98.57° and 90.00°. The asymmetric unit holds K at (0.000, 0.000, 0.000), Tl at (0.089, 0.256, 0.484), Tl at (0.128, 0.500, 0.014), Tl at (0.242, 0.000, 0.329) and Sb at (0.190, 0.000, 0.834).


(7)
KTc2Pb after structural relaxation, computed with PBE.

As for the density of states at the Fermi level: 7.51 states/eV per cell. The spin magnetization comes out at 0.0 μB per cell. The calculation puts the total energy at -40.981 eV per cell. The value obtained for the formation energy is 1.26 eV per atom.

The structure belongs to space group Cmmm (No. 65); the cell edges are 3.290, 4.977 and 10.340 Å and the angles 90.00°, 90.00° and 90.00°. The asymmetric unit holds K at (0.000, 0.000, 0.000), Tc at (0.000, 0.500, 0.283) and Pb at (0.000, 0.000, 0.500).


(8)
BaCd3Ga after structural relaxation, computed with PBE.

As for the density of states at the Fermi level: 7.97 states/eV per cell. For the energy above the most stable polymorph in this dataset, the calculation gives 1071.8 meV/atom. The spin magnetization comes out at 0.0 μB per cell. The calculation puts the total energy at -3.922 eV per cell. The value obtained for the formation energy is 0.75 eV per atom.

The structure belongs to space group Pm-3m (No. 221); the cell edges are 6.447, 6.447 and 6.447 Å and the angles 90.00°, 90.00° and 90.00°. The asymmetric unit holds Ba at (0.000, 0.000, 0.000), Cd at (0.000, 0.000, 0.500) and Ga at (0.500, 0.500, 0.500).


(9)
Tb4InAg7 after structural relaxation, computed with PBE.

As for the density of states at the Fermi level: 15.78 states/eV per cell. The spin magnetization comes out at 0.0 μB per cell. The calculation puts the total energy at -85.932 eV per cell. The value obtained for the formation energy is -0.15 eV per atom.

The structure belongs to space group C2/m (No. 12); the cell edges are 14.449, 5.169 and 8.918 Å and the angles 90.00°, 121.30° and 90.00°. The asymmetric unit holds Tb at (0.062, 0.000, 0.234), Tb at (0.234, 0.000, 0.743), In at (0.000, 0.500, 0.500), Ag at (0.000, 0.000, 0.500), Ag at (0.070, 0.500, 0.895), Ag at (0.196, 0.000, 0.049) and Ag at (0.198, 0.500, 0.513).


(10)
Ca2TlTc after structural relaxation, computed with PBE.

As for the density of states at the Fermi level: 13.96 states/eV per cell. For the energy above the most stable polymorph in this dataset, the calculation gives 93.1 meV/atom. The spin magnetization comes out at 0.3 μB per cell. The calculation puts the total energy at -60.716 eV per cell. The value obtained for the formation energy is 0.39 eV per atom.

The structure belongs to space group Fm-3m (No. 225); the cell edges are 7.324, 7.324 and 7.324 Å and the angles 90.00°, 90.00° and 90.00°. The asymmetric unit holds Ca at (0.250, 0.250, 0.250), Tl at (0.000, 0.000, 0.000) and Tc at (0.000, 0.000, 0.500).


(11)
BaDyTaN3 after structural relaxation, computed with PBE.

The formation energy from raw total energies comes out at -1.04 eV/atom. The spin magnetization comes out at 0.0 μB per cell. The calculation puts the total energy at -198.282 eV per cell.

The structure belongs to space group C2/m (No. 12); the cell edges are 13.631, 4.051 and 7.737 Å and the angles 90.00°, 105.14° and 90.00°. The asymmetric unit holds Ba at (0.148, 0.000, 0.077), Dy at (0.158, 0.000, 0.576), Ta at (0.003, 0.500, 0.308), N at (0.007, 0.000, 0.322), N at (0.149, 0.500, 0.790) and N at (0.162, 0.500, 0.354).


(12)
TbIn4PbS8 after structural relaxation, computed with PBE.

As for the density of states at the Fermi level: 8.23 states/eV per cell. The formation energy from raw total energies comes out at -0.75 eV/atom. The spin magnetization comes out at 0.0 μB per cell. The calculation puts the total energy at -188.253 eV per cell.

The structure belongs to space group R3m (No. 160, hexagonal axes); the cell edges are 7.9566, 7.9566 and 20.2508 Å and the angles 90.00°, 90.00° and 120.00°. The asymmetric unit holds Tb at (0.0000, 0.0000, 0.0000), In at (0.0000, 0.0000, 0.6266), In at (0.1674, 0.3349, 0.8324), Pb at (0.0000, 0.0000, 0.3710), S at (0.0000, 0.0000, 0.2301), S at (0.0000, 0.0000, 0.7633), S at (0.0344, 0.5172, 0.7570) and S at (0.1770, 0.3541, 0.5771).